1.
Entry from the Alexandria database: a relaxed structure of Pu3ThH8 (GGA-PBE).

Summary:
* VASP energy: -6.841 eV per atom
* density: 10.60 Mg/m³

Cell: 5.339 5.339 5.339 Å, 90.00 90.00 90.00°
Site moments in Bohr magnetons follow the coordinates.
Fractional positions:
1 Pu 0.000 0.500 0.500  5.22
2 Pu 0.500 0.000 0.500  5.22
3 Pu 0.500 0.500 0.000  5.22
4 H 0.748 0.252 0.252  -0.02
5 H 0.252 0.748 0.748  -0.02
6 H 0.252 0.252 0.748  -0.02
7 H 0.252 0.252 0.252  -0.02
8 H 0.252 0.748 0.252  -0.02
9 H 0.748 0.252 0.748  -0.02
10 H 0.748 0.748 0.748  -0.02
11 H 0.748 0.748 0.252  -0.02
12 Th 0.000 0.000 0.000  0.07

***

2.
Entry from the Alexandria database: a relaxed structure of PuThH2 (GGA-PBE).

Summary:
* VASP energy: -7.357 eV per atom
* density: 12.47 Mg/m³

Cell: 3.580 3.580 6.097 Å, 72.93 72.93 60.00°
Site moments in Bohr magnetons follow the coordinates.
Fractional positions:
1 H 0.250 0.250 0.251  -0.01
2 H 0.750 0.750 0.749  -0.01
3 Th 0.500 0.500 0.500  0.06
4 Pu 0.000 0.000 0.000  5.35

***

3.
Entry from the Alexandria database: a relaxed structure of PuTh2H8 (GGA-PBE).

Summary:
* VASP energy: -5.527 eV per atom
* density: 10.19 Mg/m³

Cell: 3.606 6.015 6.422 Å, 117.93 106.31 90.00°
Site moments in Bohr magnetons follow the coordinates.
Fractional positions:
1 H 0.338 0.091 0.676  -0.01
2 H 0.338 0.584 0.676  -0.01
3 H 0.000 0.743 0.000  -0.01
4 H 0.834 0.834 0.668  -0.01
5 H 0.662 0.908 0.324  -0.01
6 H 0.000 0.257 0.000  -0.01
7 H 0.166 0.166 0.332  -0.01
8 H 0.662 0.416 0.324  -0.01
9 Pu 0.500 0.000 0.000  5.33
10 Th 0.831 0.331 0.662  0.16
11 Th 0.169 0.669 0.338  0.16

***

4.
Entry from the Alexandria database: a relaxed structure of Pu2ThH8 (GGA-PBE).

Summary:
* VASP energy: -6.155 eV per atom
* density: 10.73 Mg/m³

Cell: 3.837 5.087 6.592 Å, 112.70 106.92 90.00°
Site moments in Bohr magnetons follow the coordinates.
Fractional positions:
1 H 0.660 0.427 0.319  -0.02
2 H 0.660 0.892 0.319  -0.02
3 H 0.840 0.840 0.680  -0.02
4 H 0.160 0.160 0.320  -0.02
5 H 0.000 0.278 0.000  -0.01
6 H 0.340 0.108 0.681  -0.02
7 H 0.340 0.573 0.681  -0.02
8 H 0.000 0.722 0.000  -0.01
9 Th 0.500 0.000 0.000  0.16
10 Pu 0.821 0.321 0.642  5.29
11 Pu 0.179 0.679 0.358  5.29

***

5.
Entry from the Alexandria database: a relaxed structure of PuThH2 (GGA-PBE).

Summary:
* VASP energy: -7.234 eV per atom
* density: 12.24 Mg/m³

Cell: 3.502 3.502 6.434 Å, 74.21 74.21 60.00°
Site moments in Bohr magnetons follow the coordinates.
Fractional positions:
1 Pu 0.495 0.495 0.514  5.49
2 H 0.082 0.082 0.753  -0.01
3 H 0.253 0.253 0.240  -0.01
4 Th 0.669 0.669 0.992  0.13

***

6.
Entry from the Alexandria database: a relaxed structure of PuTi2H7 (GGA-PBE).

Summary:
* VASP energy: -5.786 eV per atom
* density: 7.43 Mg/m³

Cell: 3.191 3.191 7.935 Å, 101.60 101.60 90.00°
Site moments in Bohr magnetons follow the coordinates.
Fractional positions:
1 H 0.392 0.892 0.783  -0.01
2 H 0.500 0.500 0.000  -0.03
3 H 0.250 0.750 0.500  0.00
4 H 0.892 0.392 0.783  -0.01
5 H 0.108 0.608 0.217  -0.01
6 H 0.750 0.250 0.500  0.00
7 H 0.608 0.108 0.217  -0.01
8 Ti 0.679 0.679 0.357  0.29
9 Ti 0.321 0.321 0.643  0.29
10 Pu 0.000 0.000 0.000  5.22